No. 1
A relaxed Na2CoS2 crystal. Source: the Open Quantum Materials Database, functional PBE-GGA.

```
Na2CoS2
1.0
-1.500 -5.289 -0.955
-5.554 1.077 2.754
1.340 3.630 -5.905
S Na Co
4 4 2
direct
0.111 0.319 0.221 S
0.889 0.681 0.779 S
0.611 0.903 0.221 S
0.389 0.097 0.779 S
0.144 0.803 0.287 Na
0.856 0.197 0.713 Na
0.356 0.515 0.713 Na
0.644 0.485 0.287 Na
0.250 0.000 0.000 Co
0.750 0.000 0.000 Co
```

- symmetry = Ibam


No. 2
A relaxed Nb2ReSb crystal. Source: the Open Quantum Materials Database, functional PBE-GGA.

```
Nb2ReSb
1.0
4.501 0.113 1.145
1.688 3.577 2.436
1.288 -0.603 4.423
Re Sb Nb
1 1 2
direct
0.250 0.250 0.250 Re
0.500 0.500 0.500 Sb
0.750 0.750 0.750 Nb
0.000 0.000 0.000 Nb
```

- symmetry = F-43m


No. 3
A relaxed PrAl2Ga4Pt crystal. Source: the Open Quantum Materials Database, functional PBE-GGA.

```
PrAl2Ga4Pt
1.0
4.395 0.000 0.000
0.000 4.395 0.000
0.000 0.000 8.112
Pr Pt Ga Al
1 1 4 2
direct
0.000 0.000 0.000 Pr
0.000 0.000 0.500 Pt
0.500 0.000 0.671 Ga
0.500 0.000 0.329 Ga
0.000 0.500 0.671 Ga
0.000 0.500 0.329 Ga
0.500 0.500 0.153 Al
0.500 0.500 0.847 Al
```

- symmetry = P4/mmm


No. 4
A relaxed GdLuCu2Sn2 crystal. Source: the Open Quantum Materials Database, functional PBE-GGA.

```
GdLuCu2Sn2
1.0
4.522 0.000 0.000
-2.261 3.916 0.000
0.000 0.000 7.188
Cu Gd Sn Lu
2 1 2 1
direct
0.667 0.333 0.545 Cu
0.333 0.667 0.060 Cu
0.000 0.000 0.734 Gd
0.333 0.667 0.459 Sn
0.667 0.333 0.969 Sn
0.000 0.000 0.233 Lu
```

- symmetry = P3m1


Final energy
In order: -4.333; -9.024; -4.269; -4.690
Unit: eV/atom